Entry A
DFT (GGA-PBE) results for a geometry-optimized BeCdGaCo structure.

```
4
Lattice="0.0000 3.0007 3.0007 3.0007 0.0000 3.0007 3.0007 3.0007 0.0000" Properties=species:S:1:pos:R:3 pbc="T T T"
Be 0.0000 0.0000 0.0000
Cd 4.5010 4.5010 4.5010
Ga 1.5003 1.5003 1.5003
Co 3.0007 3.0007 3.0007
```

The total magnetization comes out at 0.02 μB/cell. For the calculated volume, the calculation gives 54.0 Å³ per cell. The space group is No. 216.

Entry B
DFT (GGA-PBE) results for a geometry-optimized BeCdGaCo structure.

```
4
Lattice="0.0000 2.9968 2.9968 2.9968 0.0000 2.9968 2.9968 2.9968 0.0000" Properties=species:S:1:pos:R:3 pbc="T T T"
Be 0.0000 0.0000 0.0000
Cd 1.4984 1.4984 1.4984
Ga 2.9968 2.9968 2.9968
Co 4.4952 4.4952 4.4952
```

The total magnetization comes out at 0.05 μB/cell. For the calculated volume, the calculation gives 53.8 Å³ per cell. The space group is No. 216.

Most stable of them? entry A.

Entry A
DFT (GGA-PBE) results for a geometry-optimized BeCdCoGe structure.

```
4
Lattice="0.0000 3.0329 3.0329 3.0329 0.0000 3.0329 3.0329 3.0329 0.0000" Properties=species:S:1:pos:R:3 pbc="T T T"
Be 0.0000 0.0000 0.0000
Cd 1.5165 1.5165 1.5165
Co 4.5494 4.5494 4.5494
Ge 3.0329 3.0329 3.0329
```

The total magnetization comes out at 0.06 μB/cell. For the calculated volume, the calculation gives 55.8 Å³ per cell. The space group is No. 216.

Entry B
DFT (GGA-PBE) results for a geometry-optimized BeCdCoGe structure.

```
4
Lattice="0.0000 3.0223 3.0223 3.0223 0.0000 3.0223 3.0223 3.0223 0.0000" Properties=species:S:1:pos:R:3 pbc="T T T"
Be 0.0000 0.0000 0.0000
Cd 4.5335 4.5335 4.5335
Co 3.0223 3.0223 3.0223
Ge 1.5112 1.5112 1.5112
```

The total magnetization comes out at 0.05 μB/cell. For the calculated volume, the calculation gives 55.2 Å³ per cell. The space group is No. 216.

Most stable of them? entry B.

Entry A
DFT (GGA-PBE) results for a geometry-optimized BeCdCoSi structure.

```
4
Lattice="0.0000 2.9446 2.9446 2.9446 0.0000 2.9446 2.9446 2.9446 0.0000" Properties=species:S:1:pos:R:3 pbc="T T T"
Be 0.0000 0.0000 0.0000
Cd 1.4723 1.4723 1.4723
Co 4.4169 4.4169 4.4169
Si 2.9446 2.9446 2.9446
```

The total magnetization comes out at 0.01 μB/cell. For the calculated volume, the calculation gives 51.1 Å³ per cell. The space group is No. 216.

Entry B
DFT (GGA-PBE) results for a geometry-optimized BeCdCoSi structure.

```
4
Lattice="0.0000 2.9501 2.9501 2.9501 0.0000 2.9501 2.9501 2.9501 0.0000" Properties=species:S:1:pos:R:3 pbc="T T T"
Be 0.0000 0.0000 0.0000
Cd 4.4251 4.4251 4.4251
Co 2.9501 2.9501 2.9501
Si 1.4750 1.4750 1.4750
```

The total magnetization comes out at 0.01 μB/cell. For the calculated volume, the calculation gives 51.3 Å³ per cell. The space group is No. 216.

Most stable of them? entry B.

Entry A
DFT (GGA-PBE) results for a geometry-optimized BeZnCdCo structure.

```
4
Lattice="0.0000 2.9692 2.9692 2.9692 0.0000 2.9692 2.9692 2.9692 0.0000" Properties=species:S:1:pos:R:3 pbc="T T T"
Be 0.0000 0.0000 0.0000
Zn 2.9692 2.9692 2.9692
Cd 1.4846 1.4846 1.4846
Co 4.4538 4.4538 4.4538
```

The total magnetization comes out at 0.42 μB/cell. For the calculated volume, the calculation gives 52.4 Å³ per cell. The space group is No. 216.

Entry B
DFT (GGA-PBE) results for a geometry-optimized BeZnCdCo structure.

```
4
Lattice="0.0000 2.9782 2.9782 2.9782 0.0000 2.9782 2.9782 2.9782 0.0000" Properties=species:S:1:pos:R:3 pbc="T T T"
Be 0.0000 0.0000 0.0000
Zn 1.4891 1.4891 1.4891
Cd 4.4673 4.4673 4.4673
Co 2.9782 2.9782 2.9782
```

The total magnetization comes out at 0.23 μB/cell. For the calculated volume, the calculation gives 52.8 Å³ per cell. The space group is No. 216.

Most stable of them? entry A.

Entry A
DFT (GGA-PBE) results for a geometry-optimized CsBeCd structure.

```
3
Lattice="0.0000 3.9749 3.9749 3.9749 0.0000 3.9749 3.9749 3.9749 0.0000" Properties=species:S:1:pos:R:3 pbc="T T T"
Cs 0.0000 0.0000 0.0000
Be 3.9749 3.9749 3.9749
Cd 5.9624 5.9624 5.9624
```

For the calculated volume, the calculation gives 125.6 Å³ per cell. The space group is No. 216.

Entry B
DFT (GGA-PBE) results for a geometry-optimized CsBeCd structure.

```
3
Lattice="0.0000 3.8665 3.8665 3.8665 0.0000 3.8665 3.8665 3.8665 0.0000" Properties=species:S:1:pos:R:3 pbc="T T T"
Cs 0.0000 0.0000 0.0000
Be 5.7997 5.7997 5.7997
Cd 3.8665 3.8665 3.8665
```

For the calculated volume, the calculation gives 115.6 Å³ per cell. The space group is No. 216.

Most stable of them? entry B.

Entry A
DFT (GGA-PBE) results for a geometry-optimized BeCdCuSi structure.

```
4
Lattice="0.0000 3.0980 3.0980 3.0980 0.0000 3.0980 3.0980 3.0980 0.0000" Properties=species:S:1:pos:R:3 pbc="T T T"
Be 0.0000 0.0000 0.0000
Cd 1.5490 1.5490 1.5490
Cu 4.6470 4.6470 4.6470
Si 3.0980 3.0980 3.0980
```

For the calculated volume, the calculation gives 59.5 Å³ per cell. The space group is No. 216.

Entry B
DFT (GGA-PBE) results for a geometry-optimized BeCdCuSi structure.

```
4
Lattice="0.0000 3.0769 3.0769 3.0769 0.0000 3.0769 3.0769 3.0769 0.0000" Properties=species:S:1:pos:R:3 pbc="T T T"
Be 0.0000 0.0000 0.0000
Cd 4.6154 4.6154 4.6154
Cu 3.0769 3.0769 3.0769
Si 1.5385 1.5385 1.5385
```

For the calculated volume, the calculation gives 58.3 Å³ per cell. The space group is No. 216.

Most stable of them? entry B.

Entry A
DFT (GGA-PBE) results for a geometry-optimized BeZnCdCu structure.

```
4
Lattice="0.0000 3.0233 3.0233 3.0233 0.0000 3.0233 3.0233 3.0233 0.0000" Properties=species:S:1:pos:R:3 pbc="T T T"
Be 0.0000 0.0000 0.0000
Zn 1.5117 1.5117 1.5117
Cd 4.5350 4.5350 4.5350
Cu 3.0233 3.0233 3.0233
```

For the calculated volume, the calculation gives 55.3 Å³ per cell. The space group is No. 216.

Entry B
DFT (GGA-PBE) results for a geometry-optimized BeZnCdCu structure.

```
4
Lattice="0.0000 3.0231 3.0231 3.0231 0.0000 3.0231 3.0231 3.0231 0.0000" Properties=species:S:1:pos:R:3 pbc="T T T"
Be 0.0000 0.0000 0.0000
Zn 3.0231 3.0231 3.0231
Cd 1.5116 1.5116 1.5116
Cu 4.5347 4.5347 4.5347
```

For the calculated volume, the calculation gives 55.3 Å³ per cell. The space group is No. 216.

Most stable of them? entry A.

Entry A
DFT (GGA-PBE) results for a geometry-optimized BeCdGa structure.

```
3
Lattice="0.0000 3.0075 3.0075 3.0075 0.0000 3.0075 3.0075 3.0075 0.0000" Properties=species:S:1:pos:R:3 pbc="T T T"
Be 0.0000 0.0000 0.0000
Cd 3.0075 3.0075 3.0075
Ga 1.5038 1.5038 1.5038
```

For the calculated volume, the calculation gives 54.4 Å³ per cell. The space group is No. 216.

Entry B
DFT (GGA-PBE) results for a geometry-optimized BeCdGa structure.

```
3
Lattice="0.0000 3.0176 3.0176 3.0176 0.0000 3.0176 3.0176 3.0176 0.0000" Properties=species:S:1:pos:R:3 pbc="T T T"
Be 0.0000 0.0000 0.0000
Cd 1.5088 1.5088 1.5088
Ga 3.0176 3.0176 3.0176
```

For the calculated volume, the calculation gives 55.0 Å³ per cell. The space group is No. 216.

Most stable of them? entry A.

Entry A
DFT (GGA-PBE) results for a geometry-optimized HfBeCd structure.

```
3
Lattice="0.0000 3.1616 3.1616 3.1616 0.0000 3.1616 3.1616 3.1616 0.0000" Properties=species:S:1:pos:R:3 pbc="T T T"
Hf 0.0000 0.0000 0.0000
Be 4.7424 4.7424 4.7424
Cd 1.5808 1.5808 1.5808
```

The total magnetization comes out at 0.00 μB/cell. For the calculated volume, the calculation gives 63.2 Å³ per cell. The space group is No. 216.

Entry B
DFT (GGA-PBE) results for a geometry-optimized HfBeCd structure.

```
3
Lattice="0.0000 3.0903 3.0903 3.0903 0.0000 3.0903 3.0903 3.0903 0.0000" Properties=species:S:1:pos:R:3 pbc="T T T"
Hf 0.0000 0.0000 0.0000
Be 3.0903 3.0903 3.0903
Cd 4.6355 4.6355 4.6355
```

The total magnetization comes out at 0.00 μB/cell. For the calculated volume, the calculation gives 59.0 Å³ per cell. The space group is No. 216.

Most stable of them? entry B.

Entry A
DFT (GGA-PBE) results for a geometry-optimized HfBeCdNi structure.

```
4
Lattice="0.0000 3.1017 3.1017 3.1017 0.0000 3.1017 3.1017 3.1017 0.0000" Properties=species:S:1:pos:R:3 pbc="T T T"
Hf 0.0000 0.0000 0.0000
Be 1.5508 1.5508 1.5508
Cd 3.1017 3.1017 3.1017
Ni 4.6525 4.6525 4.6525
```

The total magnetization comes out at 0.00 μB/cell. For the calculated volume, the calculation gives 59.7 Å³ per cell. The space group is No. 216.

Entry B
DFT (GGA-PBE) results for a geometry-optimized HfBeCdNi structure.

```
4
Lattice="0.0000 3.1362 3.1362 3.1362 0.0000 3.1362 3.1362 3.1362 0.0000" Properties=species:S:1:pos:R:3 pbc="T T T"
Hf 0.0000 0.0000 0.0000
Be 3.1362 3.1362 3.1362
Cd 1.5681 1.5681 1.5681
Ni 4.7042 4.7042 4.7042
```

The total magnetization comes out at 0.00 μB/cell. For the calculated volume, the calculation gives 61.7 Å³ per cell. The space group is No. 216.

Entry C
DFT (GGA-PBE) results for a geometry-optimized HfBeCdNi structure.

```
4
Lattice="0.0000 3.1225 3.1225 3.1225 0.0000 3.1225 3.1225 3.1225 0.0000" Properties=species:S:1:pos:R:3 pbc="T T T"
Hf 0.0000 0.0000 0.0000
Be 1.5612 1.5612 1.5612
Cd 4.6837 4.6837 4.6837
Ni 3.1225 3.1225 3.1225
```

The total magnetization comes out at 0.01 μB/cell. For the calculated volume, the calculation gives 60.9 Å³ per cell. The space group is No. 216.

Most stable of them? entry A.

Entry A
DFT (GGA-PBE) results for a geometry-optimized TaBeCdIr structure.

```
4
Lattice="0.0000 3.1180 3.1180 3.1180 0.0000 3.1180 3.1180 3.1180 0.0000" Properties=species:S:1:pos:R:3 pbc="T T T"
Ta 0.0000 0.0000 0.0000
Be 4.6770 4.6770 4.6770
Cd 1.5590 1.5590 1.5590
Ir 3.1180 3.1180 3.1180
```

The total magnetization comes out at 0.00 μB/cell. For the calculated volume, the calculation gives 60.6 Å³ per cell. The space group is No. 216.

Entry B
DFT (GGA-PBE) results for a geometry-optimized TaBeCdIr structure.

```
4
Lattice="0.0000 3.1346 3.1346 3.1346 0.0000 3.1346 3.1346 3.1346 0.0000" Properties=species:S:1:pos:R:3 pbc="T T T"
Ta 0.0000 0.0000 0.0000
Be 4.7019 4.7019 4.7019
Cd 3.1346 3.1346 3.1346
Ir 1.5673 1.5673 1.5673
```

The total magnetization comes out at 0.00 μB/cell. For the calculated volume, the calculation gives 61.6 Å³ per cell. The space group is No. 216.

Entry C
DFT (GGA-PBE) results for a geometry-optimized TaBeCdIr structure.

```
4
Lattice="0.0000 3.1385 3.1385 3.1385 0.0000 3.1385 3.1385 3.1385 0.0000" Properties=species:S:1:pos:R:3 pbc="T T T"
Ta 0.0000 0.0000 0.0000
Be 3.1385 3.1385 3.1385
Cd 4.7077 4.7077 4.7077
Ir 1.5692 1.5692 1.5692
```

The total magnetization comes out at 0.00 μB/cell. For the calculated volume, the calculation gives 61.8 Å³ per cell. The space group is No. 216.

Most stable of them? entry B.

Entry A
DFT (GGA-PBE) results for a geometry-optimized LaBeCd structure.

```
3
Lattice="0.0000 3.5156 3.5156 3.5156 0.0000 3.5156 3.5156 3.5156 0.0000" Properties=species:S:1:pos:R:3 pbc="T T T"
La 0.0000 0.0000 0.0000
Be 5.2734 5.2734 5.2734
Cd 1.7578 1.7578 1.7578
```

The total magnetization comes out at 0.01 μB/cell. For the calculated volume, the calculation gives 86.9 Å³ per cell. The space group is No. 216.

Entry B
DFT (GGA-PBE) results for a geometry-optimized LaBeCd structure.

```
3
Lattice="0.0000 3.3231 3.3231 3.3231 0.0000 3.3231 3.3231 3.3231 0.0000" Properties=species:S:1:pos:R:3 pbc="T T T"
La 0.0000 0.0000 0.0000
Be 4.9847 4.9847 4.9847
Cd 3.3231 3.3231 3.3231
```

The total magnetization comes out at 0.40 μB/cell. For the calculated volume, the calculation gives 73.4 Å³ per cell. The space group is No. 216.

Most stable of them? entry B.